(1)
Density functional theory data (PBE) for Sr2ZrHg after structural relaxation.

- DFT formation energy: 0.20 eV/atom
- DFT total energy: -2.856 eV/atom
- Density of states at the Fermi level: 4.39 states/eV per cell

a = 11.277 Å, b = 11.277 Å, c = 11.277 Å
α = 19.46°, β = 19.46°, γ = 19.46°
Atoms (fractional coordinates):
Sr 0.000 0.000 0.000
Sr 0.223 0.223 0.223
Zr 0.753 0.753 0.753
Hg 0.481 0.481 0.481

(2)
Density functional theory data (PBE) for La2TaIn after structural relaxation.

- DFT formation energy: 0.11 eV/atom
- DFT total energy: -6.006 eV/atom
- Density of states at the Fermi level: 4.51 states/eV per cell

a = 3.281 Å, b = 3.281 Å, c = 10.193 Å
α = 90.00°, β = 90.00°, γ = 90.00°
Atoms (fractional coordinates):
La 0.000 0.000 0.233
La 0.000 0.000 0.767
Ta 0.500 0.500 0.000
In 0.500 0.500 0.500

(3)
Density functional theory data (PBE) for Hf2GeI after structural relaxation.

- ΔE_f (raw): -0.065 eV/atom
- DFT total energy: -6.584 eV/atom
- Density of states at the Fermi level: 3.31 states/eV per cell

a = 4.898 Å, b = 4.898 Å, c = 4.898 Å
α = 60.00°, β = 60.00°, γ = 60.00°
Atoms (fractional coordinates):
Hf 0.250 0.250 0.250
Hf 0.750 0.750 0.750
Ge 0.000 0.000 0.000
I 0.500 0.500 0.500

(4)
Density functional theory data (PBE) for Th3As2IrRh9 after structural relaxation.

- DFT formation energy: -0.34 eV/atom
- DFT total energy: -7.447 eV/atom
- Density of states at the Fermi level: 9.47 states/eV per cell

a = 7.610 Å, b = 7.610 Å, c = 6.018 Å
α = 90.00°, β = 90.00°, γ = 120.00°
Atoms (fractional coordinates):
Th 0.000 0.000 0.000
Th 0.333 0.667 0.651
Th 0.667 0.333 0.349
As 0.333 0.667 0.150
As 0.667 0.333 0.850
Ir 0.000 0.000 0.500
Rh 0.000 0.500 0.000
Rh 0.173 0.347 0.334
Rh 0.173 0.827 0.334
Rh 0.347 0.173 0.666
Rh 0.500 0.000 0.000
Rh 0.500 0.500 0.000
Rh 0.653 0.827 0.334
Rh 0.827 0.173 0.666
Rh 0.827 0.653 0.666

Please write out number 1 again, unchanged.
Density functional theory data (PBE) for Sr2ZrHg after structural relaxation.

- DFT formation energy: 0.20 eV/atom
- DFT total energy: -2.856 eV/atom
- Density of states at the Fermi level: 4.39 states/eV per cell

a = 11.277 Å, b = 11.277 Å, c = 11.277 Å
α = 19.46°, β = 19.46°, γ = 19.46°
Atoms (fractional coordinates):
Sr 0.000 0.000 0.000
Sr 0.223 0.223 0.223
Zr 0.753 0.753 0.753
Hg 0.481 0.481 0.481

- What is the formula in the first record?
  Sr2ZrHg

- density of states at the Fermi level of number 2 (La2TaIn)?
  4.51 states/eV per cell

- Which of these has the lowest density of states at the Fermi level?
  Hf2GeI